No. 1
The following is a PBE calculation of a relaxed structure of LiSmGd2, from Alexandria.

Calculated values
Density of states at the Fermi level: 5.56 states/eV per cell
Final energy: -34.534 eV per formula unit
Relative energy among the computed polymorphs: 0 meV per atom

Cell: 3.6505 3.6505 8.8669 Å, 90.00 90.00 90.00°
With the nearest neighbours (Å) after each atom.
Fractional coordinates of all 4 atoms:
Li1 0.5000 0.5000 0.0000  8 Gd 3.24
Gd1 0.0000 0.0000 0.2206  4 Li 3.24, 4 Sm 3.58
Gd2 0.0000 0.0000 0.7794  4 Li 3.24, 4 Sm 3.58
Sm1 0.5000 0.5000 0.5000  8 Gd 3.58, 4 Sm 3.65

=====

No. 2
The following is a PBE calculation of a relaxed structure of NdIn2I5, from Alexandria.

Calculated values
Density of states at the Fermi level: 0.00 states/eV per cell
Formation energy (no corrections): -727 kJ/mol of formula units
Final energy: -25.525 eV per formula unit

Cell: 9.1895 9.7813 14.2890 Å, 90.00 90.00 90.00°
With the nearest neighbours (Å) after each atom.
Fractional coordinates of all 32 atoms:
I1 0.8313 0.0461 0.9209  2 Nd 3.18-3.28
I2 0.4346 0.2500 0.0047  1 Nd 3.23, 2 In 3.53
I3 0.5654 0.7500 0.9953  1 Nd 3.23, 2 In 3.53
I4 0.6236 0.2500 0.6848  1 Nd 3.20, 2 In 3.49
I5 0.6687 0.0461 0.4209  2 Nd 3.18-3.28
I6 0.1687 0.5461 0.0791  2 Nd 3.18-3.28
I7 0.3355 0.2500 0.2885  1 Nd 3.17
I8 0.0654 0.2500 0.5047  1 Nd 3.23, 2 In 3.53
I9 0.8764 0.2500 0.1848  1 Nd 3.20, 2 In 3.49
I10 0.8355 0.7500 0.2115  1 Nd 3.17
I11 0.3764 0.7500 0.3152  1 Nd 3.20, 2 In 3.49
I12 0.6687 0.4539 0.4209  2 Nd 3.18-3.28
I13 0.3313 0.5461 0.5791  2 Nd 3.18-3.28
I14 0.6645 0.7500 0.7115  1 Nd 3.17
I15 0.1236 0.7500 0.8152  1 Nd 3.20, 2 In 3.49
I16 0.3313 0.9539 0.5791  2 Nd 3.18-3.28
I17 0.1645 0.2500 0.7885  1 Nd 3.17
I18 0.1687 0.9539 0.0791  2 Nd 3.18-3.28
I19 0.8313 0.4539 0.9209  2 Nd 3.18-3.28
I20 0.9346 0.7500 0.4953  1 Nd 3.23, 2 In 3.53
In1 0.9488 0.9938 0.6772  8 I 3.49-3.90
In2 0.9488 0.5062 0.6772  8 I 3.49-3.90
In3 0.0512 0.4938 0.3228  8 I 3.49-3.90
In4 0.0512 0.0062 0.3228  8 I 3.49-3.90
In5 0.4488 0.4938 0.8228  8 I 3.49-3.90
In6 0.5512 0.5062 0.1772  8 I 3.49-3.90
In7 0.4488 0.0062 0.8228  8 I 3.49-3.90
In8 0.5512 0.9938 0.1772  8 I 3.49-3.90
Nd1 0.5834 0.7500 0.4955  7 I 3.17-3.28
Nd2 0.0834 0.2500 0.0045  7 I 3.17-3.28
Nd3 0.9166 0.7500 0.9955  7 I 3.17-3.28
Nd4 0.4166 0.2500 0.5045  7 I 3.17-3.28

=====

No. 3
The following is a PBE calculation of a relaxed structure of SmHfZn2, from Alexandria.

Calculated values
Density of states at the Fermi level: 5.40 states/eV per cell
Final energy: -17.788 eV per formula unit
Relative energy among the computed polymorphs: 74 meV per atom

Cell: 4.9084 4.9084 4.9084 Å, 60.00 60.00 60.00°
With the nearest neighbours (Å) after each atom.
Fractional coordinates of all 4 atoms:
Sm1 0.0000 0.0000 0.0000  8 Zn 3.01
Zn1 0.2500 0.2500 0.2500  4 Hf 3.01, 4 Sm 3.01
Zn2 0.7500 0.7500 0.7500  4 Hf 3.01, 4 Sm 3.01
Hf1 0.5000 0.5000 0.5000  8 Zn 3.01